[1]
Below is an optimized crystal structure of NaPaBi4Pb2, with properties calculated at the PBE level.

Geometry as POSCAR:
```
NaPaBi4Pb2
1.0
6.481 -0.009 0.000
-0.015 6.481 0.000
-3.233 -3.236 6.507
Pb Bi Na Pa
2 4 1 1
direct
0.000 0.000 0.000
0.250 0.750 0.500
0.988 0.488 0.977
0.512 0.012 0.023
0.747 0.747 0.495
0.253 0.253 0.505
0.500 0.500 0.000
0.750 0.250 0.500
```

Values from the calculation:
Raw total energy (eV for the cell shown): -33.50
Formation energy from the elements (eV/atom): 0.032



[2]
Below is an optimized crystal structure of Na3PaBi3S8, with properties calculated at the PBE level.

Geometry as POSCAR:
```
Na3PaBi3S8
1.0
8.183 0.000 0.000
-4.091 7.087 -0.025
0.000 -4.702 6.811
S Bi Na Pa
8 3 3 1
direct
0.766 0.532 0.277
0.234 0.990 0.723
0.234 0.468 0.723
0.766 0.010 0.277
0.756 0.990 0.723
0.745 0.491 0.736
0.244 0.010 0.277
0.255 0.509 0.264
0.000 0.500 0.500
0.500 0.000 0.500
0.500 0.500 0.500
0.000 0.500 0.000
0.500 0.500 0.000
0.000 0.000 0.000
0.000 0.000 0.500
```

Values from the calculation:
E_form (uncorrected) (meV per atom): -915
Raw total energy (eV for the cell shown): -71.84



[3]
Below is an optimized crystal structure of NaPaBiS4, with properties calculated at the PBE level.

Geometry as POSCAR:
```
NaPaBiS4
1.0
8.279 0.000 0.000
-4.139 7.131 -0.547
0.000 -4.336 7.130
S Pa Na Bi
8 2 2 2
direct
0.744 0.488 0.276
0.284 0.033 0.267
0.749 0.033 0.267
0.256 0.512 0.724
0.251 0.967 0.733
0.716 0.967 0.733
0.256 0.512 0.289
0.744 0.488 0.711
0.500 0.500 0.500
0.000 0.500 0.500
0.874 0.748 0.124
0.126 0.252 0.876
0.500 0.000 0.000
0.500 0.000 0.500
```

Values from the calculation:
E_form (uncorrected) (meV per atom): -1100
Raw total energy (eV for the cell shown): -77.82